Record 1
# GGA-PBE CaTlInSb, optimized geometry
data_CaTlInSb
_chemical_formula_sum 'Ca4 Tl4 In4 Sb4'
_cell_length_a 7.7532
_cell_length_b 7.7532
_cell_length_c 7.7532
_cell_angle_alpha 90.00
_cell_angle_beta 90.00
_cell_angle_gamma 90.00
_space_group_name_H-M_alt 'P 1'
_space_group_IT_number 1
_space_group_name_Hall 'P 1'
loop_
_atom_site_label
_atom_site_type_symbol
_atom_site_fract_x
_atom_site_fract_y
_atom_site_fract_z
Ca1 Ca 0.0000 0.0000 0.0000
Ca2 Ca 0.0000 0.5000 0.5000
Ca3 Ca 0.5000 0.0000 0.5000
Ca4 Ca 0.5000 0.5000 0.0000
Tl1 Tl 0.2500 0.2500 0.7500
Tl2 Tl 0.2500 0.7500 0.2500
Tl3 Tl 0.7500 0.2500 0.2500
Tl4 Tl 0.7500 0.7500 0.7500
In1 In 0.0000 0.0000 0.5000
In2 In 0.0000 0.5000 0.0000
In3 In 0.5000 0.0000 0.0000
In4 In 0.5000 0.5000 0.5000
Sb1 Sb 0.2500 0.2500 0.2500
Sb2 Sb 0.2500 0.7500 0.7500
Sb3 Sb 0.7500 0.2500 0.7500
Sb4 Sb 0.7500 0.7500 0.2500
# DFT total energy, Ry per atom: -0.227
# Crystal system: cubic
# Space group: F-43m, No. 216

Record 2
# GGA-PBE CaTl2InSb2, optimized geometry
data_CaTl2InSb2
_chemical_formula_sum 'Ca2 Tl4 In2 Sb4'
_cell_length_a 4.6238
_cell_length_b 10.7128
_cell_length_c 7.6264
_cell_angle_alpha 90.00
_cell_angle_beta 90.00
_cell_angle_gamma 90.00
_space_group_name_H-M_alt 'P 1'
_space_group_IT_number 1
_space_group_name_Hall 'P 1'
loop_
_atom_site_label
_atom_site_type_symbol
_atom_site_fract_x
_atom_site_fract_y
_atom_site_fract_z
Ca1 Ca 0.0000 0.0768 0.0000
Ca2 Ca 0.0000 0.9232 0.5000
Tl1 Tl 0.0000 0.3281 0.3376
Tl2 Tl 0.0000 0.6719 0.8376
Tl3 Tl 0.5000 0.4633 0.0631
Tl4 Tl 0.5000 0.5367 0.5631
In1 In 0.5000 0.1803 0.6666
In2 In 0.5000 0.8197 0.1666
Sb1 Sb 0.0000 0.3339 0.7747
Sb2 Sb 0.0000 0.6661 0.2747
Sb3 Sb 0.5000 0.0882 0.2943
Sb4 Sb 0.5000 0.9118 0.7943
# DFT total energy, Ry per atom: -0.240
# Crystal system: orthorhombic
# Space group: Pmc2_1, No. 26

Record 3
# GGA-PBE CaSc3In, optimized geometry
data_CaSc3In
_chemical_formula_sum 'Ca1 Sc3 In1'
_cell_length_a 5.1822
_cell_length_b 5.1822
_cell_length_c 5.1822
_cell_angle_alpha 90.00
_cell_angle_beta 90.00
_cell_angle_gamma 90.00
_space_group_name_H-M_alt 'P 1'
_space_group_IT_number 1
_space_group_name_Hall 'P 1'
loop_
_atom_site_label
_atom_site_type_symbol
_atom_site_fract_x
_atom_site_fract_y
_atom_site_fract_z
Ca1 Ca 0.0000 0.0000 0.0000
Sc1 Sc 0.0000 0.0000 0.5000
Sc2 Sc 0.0000 0.5000 0.0000
Sc3 Sc 0.5000 0.0000 0.0000
In1 In 0.5000 0.5000 0.5000
# DFT total energy, Ry per atom: -0.276
# Polymorph energy (0 for the lowest one), meV per atom: 654
# Energy relative to the elements, eV per atom: 0.998
# Crystal system: cubic
# Space group: Pm-3m, No. 221

Record 4
# GGA-PBE CaSc3In, optimized geometry
data_CaSc3In
_chemical_formula_sum 'Ca1 Sc3 In1'
_cell_length_a 5.4698
_cell_length_b 5.4698
_cell_length_c 5.4698
_cell_angle_alpha 90.00
_cell_angle_beta 90.00
_cell_angle_gamma 90.00
_space_group_name_H-M_alt 'P 1'
_space_group_IT_number 1
_space_group_name_Hall 'P 1'
loop_
_atom_site_label
_atom_site_type_symbol
_atom_site_fract_x
_atom_site_fract_y
_atom_site_fract_z
Ca1 Ca 0.0000 0.0000 0.0000
Sc1 Sc 0.0000 0.5000 0.5000
Sc2 Sc 0.5000 0.0000 0.5000
Sc3 Sc 0.5000 0.5000 0.0000
In1 In 0.5000 0.5000 0.5000
# DFT total energy, Ry per atom: -0.324
# Polymorph energy (0 for the lowest one), meV per atom: 0
# Energy relative to the elements, eV per atom: 0.344
# Crystal system: cubic
# Space group: Pm-3m, No. 221

Record 5
# GGA-PBE CaSc2In, optimized geometry
data_CaSc2In
_chemical_formula_sum 'Ca2 Sc4 In2'
_cell_length_a 3.8713
_cell_length_b 5.0401
_cell_length_c 10.7480
_cell_angle_alpha 90.00
_cell_angle_beta 90.00
_cell_angle_gamma 90.00
_space_group_name_H-M_alt 'P 1'
_space_group_IT_number 1
_space_group_name_Hall 'P 1'
loop_
_atom_site_label
_atom_site_type_symbol
_atom_site_fract_x
_atom_site_fract_y
_atom_site_fract_z
Ca1 Ca 0.0000 0.0000 0.0000
Ca2 Ca 0.5000 0.5000 0.5000
Sc1 Sc 0.0000 0.0000 0.4605
Sc2 Sc 0.0000 0.5000 0.2258
Sc3 Sc 0.5000 0.0000 0.7258
Sc4 Sc 0.5000 0.5000 0.9605
In1 In 0.0000 0.5000 0.7409
In2 In 0.5000 0.0000 0.2409
# DFT total energy, Ry per atom: -0.327
# Energy relative to the elements, eV per atom: -0.099
# Crystal system: orthorhombic
# Space group: Imm2, No. 44

Record 6
# GGA-PBE CaScIn2, optimized geometry
data_CaScIn2
_chemical_formula_sum 'Ca3 Sc3 In6'
_cell_length_a 3.5421
_cell_length_b 3.5421
_cell_length_c 29.8414
_cell_angle_alpha 90.00
_cell_angle_beta 90.00
_cell_angle_gamma 120.00
_space_group_name_H-M_alt 'P 1'
_space_group_IT_number 1
_space_group_name_Hall 'P 1'
loop_
_atom_site_label
_atom_site_type_symbol
_atom_site_fract_x
_atom_site_fract_y
_atom_site_fract_z
Ca1 Ca 0.0000 0.0000 0.0000
Ca2 Ca 0.3333 0.6667 0.6667
Ca3 Ca 0.6667 0.3333 0.3333
Sc1 Sc 0.0000 0.0000 0.5000
Sc2 Sc 0.3333 0.6667 0.1667
Sc3 Sc 0.6667 0.3333 0.8333
In1 In 0.0000 0.0000 0.2461
In2 In 0.0000 0.0000 0.7539
In3 In 0.3333 0.6667 0.4206
In4 In 0.3333 0.6667 0.9127
In5 In 0.6667 0.3333 0.0873
In6 In 0.6667 0.3333 0.5794
# DFT total energy, Ry per atom: -0.274
# Energy relative to the elements, eV per atom: -0.273
# Crystal system: trigonal
# Space group: R-3m, No. 166